Entry from OQMD via LeMat-Bulk: an optimized crystal structure of BeZnFeNi (PBE).

extended XYZ file:
```
4
Lattice="0.865 -2.656 2.760 -2.713 -1.042 2.641 -1.610 -3.579 -0.146" Properties=species:S:1:pos:R:3 pbc="T T T"
Be -2.594 -5.458 3.941
Fe 0.000 0.000 0.000
Ni -1.729 -3.638 2.628
Zn -0.865 -1.819 1.314
```

=====

Entry from OQMD via LeMat-Bulk: an optimized crystal structure of SrCuB (PBE).

extended XYZ file:
```
3
Lattice="0.000 3.128 3.128 3.128 0.000 3.128 3.128 3.128 0.000" Properties=species:S:1:pos:R:3 pbc="T T T"
Sr 4.692 4.692 4.692
B 0.000 0.000 0.000
Cu 1.564 1.564 1.564
```

=====

Entry from OQMD via LeMat-Bulk: an optimized crystal structure of FeReBiW (PBE).

extended XYZ file:
```
4
Lattice="0.000 3.218 3.218 3.218 0.000 3.218 3.218 3.218 0.000" Properties=species:S:1:pos:R:3 pbc="T T T"
W 3.218 3.218 3.218
Re 1.609 1.609 1.609
Bi 0.000 0.000 0.000
Fe 4.827 4.827 4.827
```

=====

Number 1: raw total energy -19.01 eV/f.u.. Number 2: raw total energy -9.63 eV/f.u.. Number 3: raw total energy -34.42 eV/f.u..